Record 1
This record from Alexandria via LeMat-Bulk describes a relaxed structure of Ta3TiAg. The functional is PBE-GGA.

Computed properties:
- Energy of formation from the pure elements: 1.484 eV per atom
- Space group: Pm-3m
- Offset from the most stable computed form: 0.0000 eV per atom
- Total magnetization: 0.0 μB per cell

Unit cell a=4.6942 b=4.6942 c=4.6942 alpha=90.00 beta=90.00 gamma=90.00
Positions (direct):
Ta: 0.5000 0.0000 0.0000
Ta: 0.0000 0.5000 0.0000
Ta: 0.0000 0.0000 0.5000
Ag: 0.5000 0.5000 0.5000
Ti: 0.0000 0.0000 0.0000

=====

Record 2
This record from Alexandria via LeMat-Bulk describes a relaxed structure of MgRe2Se. The functional is PBE-GGA.

Computed properties:
- Space group: Fm-3m
- Offset from the most stable computed form: 0.7192 eV per atom
- Total magnetization: 0.0 μB per cell
- Formation energy from raw total energies: 0.813 eV/atom

Unit cell a=4.4133 b=4.4133 c=4.4133 alpha=60.00 beta=60.00 gamma=60.00
Positions (direct):
Se: 0.5000 0.5000 0.5000
Re: 0.2500 0.2500 0.2500
Re: 0.7500 0.7500 0.7500
Mg: 0.0000 0.0000 0.0000